The following is a DFT calculation (PBEsol) of an optimized crystal structure of NaTa2ZnIr.

Its space-group type is No. 123. For the energy of formation, the calculation gives 2.174 eV/atom. The total energy is -5.408 eV per atom.

Cell lengths 4.1746, 4.5761, 4.5761 Å; angles 90.00, 90.00, 90.00 degrees
Sites, in units of the cell vectors:
Zn 0.5000 0.0000 0.0000
Ta 0.0000 0.0000 0.5000
Na 0.0000 0.0000 0.0000
Ta 0.0000 0.5000 0.0000
Ir 0.5000 0.5000 0.5000

---

The following is a DFT calculation (PBEsol) of an optimized crystal structure of Na3TcIr.

Its space-group type is No. 221. For the energy of formation, the calculation gives 2.291 eV/atom. The total energy is -2.766 eV per atom.

Cell lengths 5.2369, 5.2369, 5.2369 Å; angles 90.00, 90.00, 90.00 degrees
Sites, in units of the cell vectors:
Na 0.0000 0.5000 0.0000
Na 0.0000 0.0000 0.5000
Tc 0.0000 0.0000 0.0000
Ir 0.5000 0.5000 0.5000
Na 0.5000 0.0000 0.0000

---

Question: Among the records above, which one has the highest energy of formation?
Answer: Na3TcIr

---

Please write out number 1 again, unchanged.
The following is a DFT calculation (PBEsol) of an optimized crystal structure of NaTa2ZnIr.

Its space-group type is No. 123. For the energy of formation, the calculation gives 2.174 eV/atom. The total energy is -5.408 eV per atom.

Cell lengths 4.1746, 4.5761, 4.5761 Å; angles 90.00, 90.00, 90.00 degrees
Sites, in units of the cell vectors:
Zn 0.5000 0.0000 0.0000
Ta 0.0000 0.0000 0.5000
Na 0.0000 0.0000 0.0000
Ta 0.0000 0.5000 0.0000
Ir 0.5000 0.5000 0.5000

---

Question: Which of these has the lowest energy of formation?
Answer: NaTa2ZnIr